Th2ZrPtN5 after structural relaxation. Source: Alexandria, functional PBE.

The structure in POSCAR format:
```
Th2ZrPtN5
1.0
3.430 0.000 0.000
-1.715 6.756 0.000
0.000 0.000 10.702
Th Zr Pt N
4 2 2 10
Direct
0.857 0.715 0.804 Th
0.105 0.210 0.685 Th
0.143 0.285 0.304 Th
0.895 0.790 0.185 Th
0.798 0.597 0.511 Zr
0.202 0.403 0.011 Zr
0.526 0.053 0.953 Pt
0.474 0.947 0.453 Pt
0.368 0.737 0.995 N
0.678 0.357 0.872 N
0.487 0.973 0.769 N
0.279 0.558 0.657 N
0.946 0.892 0.578 N
0.632 0.263 0.495 N
0.322 0.643 0.372 N
0.513 0.027 0.269 N
0.721 0.442 0.157 N
0.054 0.108 0.078 N
```

## Properties
DFT total energy: -8.92 eV per atom
Space-group type: No. 36
Density of states at the Fermi level: 4.51 states/eV per cell